No. 1
First-principles (SCAN) data for a crystal of HgTe2Br2 relaxed with PBEsol, as listed in the Alexandria database.

Structure (extended XYZ):
```
5
Lattice="-0.765 -2.294 -3.270 3.977 -0.747 -0.406 -2.461 -5.999 7.313" Properties=species:S:1:pos:R:3 pbc="T T T"
Br -0.709 -6.236 4.540
Br 1.460 -2.805 -0.903
Te 1.561 -4.134 2.535
Te -0.810 -4.907 1.103
Hg 0.000 0.000 0.000
```

Properties
Calculated total energy   -36.1737 eV per atom
SG   I4/mmm, No. 139

=====

No. 2
First-principles (SCAN) data for a crystal of Hg3Te2Br2 relaxed with PBEsol, as listed in the Alexandria database.

Structure (extended XYZ):
```
14
Lattice="8.546 0.000 0.000 -2.849 8.057 0.000 -2.849 -4.029 6.978" Properties=species:S:1:pos:R:3 pbc="T T T"
Hg 1.785 1.760 6.537
Hg 1.064 5.291 1.303
Hg -1.064 0.752 2.186
Hg 4.633 -2.512 5.233
Hg -1.785 4.284 3.930
Hg 3.913 2.512 1.744
Br 4.244 6.002 3.418
Br -1.453 3.988 0.071
Br 1.395 2.097 3.489
Br 4.360 0.000 0.000
Te 2.715 -1.635 3.489
Te 0.402 0.000 0.000
Te -2.983 1.825 3.817
Te -0.134 -0.190 6.650
```

Properties
Calculated total energy   -45.7846 eV per atom
SG   I2_13, No. 199

=====

No. 3
First-principles (SCAN) data for a crystal of TlHg2Br relaxed with PBEsol, as listed in the Alexandria database.

Structure (extended XYZ):
```
4
Lattice="-1.718 -2.333 3.425 1.951 -3.726 -1.560 4.571 1.115 3.053" Properties=species:S:1:pos:R:3 pbc="T T T"
Tl 2.402 -2.472 2.459
Br 2.286 0.557 1.526
Hg -0.859 -1.167 1.712
Hg 0.975 -1.863 -0.780
```

Properties
Calculated total energy   -57.4131 eV per atom
SG   P4/mmm, No. 123

=====

The highest calculated total energy belongs to which entry?
HgTe2Br2

=====

The lowest calculated total energy belongs to which entry?
TlHg2Br

=====

The highest calculated total energy belongs to which entry?
HgTe2Br2